# 1
NaAc2TmS4: relaxed, PBE.

Cell: 7.136 4.130 7.187 Å, 90.00 109.30 90.00°
Space group P2/m (No. 10)
One atom of each set of equivalent atoms:
Na1 0.000 0.000 0.000 (multiplicity 1)
Ac1 0.500 0.000 0.500 (multiplicity 1)
Ac2 0.500 0.500 0.000 (multiplicity 1)
Tm1 0.000 0.500 0.500 (multiplicity 1)
S1 0.220 0.000 0.733 (multiplicity 2)
S2 0.229 0.500 0.254 (multiplicity 2)

**V**: 200 Å³/cell
**Uncorrected formation energy**: -1859 meV per atom
**Crystal system**: monoclinic
**Magnetization**: 0.0 μB per formula unit



# 2
Na2AcTmS4: relaxed, PBE.

Cell: 7.120 4.147 7.216 Å, 90.00 109.77 90.00°
Space group P2/m (No. 10)
One atom of each set of equivalent atoms:
Na1 0.000 0.000 0.000 (multiplicity 1)
Na2 0.000 0.500 0.500 (multiplicity 1)
Ac1 0.500 0.000 0.500 (multiplicity 1)
Tm1 0.500 0.500 0.000 (multiplicity 1)
S1 0.264 0.500 0.232 (multiplicity 2)
S2 0.273 0.000 0.776 (multiplicity 2)

**V**: 201 Å³/cell
**Uncorrected formation energy**: -1801 meV per atom
**Crystal system**: monoclinic
**Magnetization**: 0.0 μB per formula unit



# 3
Na3Ac2US6: relaxed, PBE.

Cell: 18.259 4.237 8.345 Å, 90.00 101.34 90.00°
Space group C2/m (No. 12)
One atom of each set of equivalent atoms:
Na1 0.000 0.000 0.000 (multiplicity 2)
Na2 0.163 0.500 0.330 (multiplicity 4)
Ac1 0.165 0.500 0.827 (multiplicity 4)
U1 0.000 0.000 0.500 (multiplicity 2)
S1 0.000 0.500 0.276 (multiplicity 4)
S2 0.157 0.000 0.575 (multiplicity 4)
S3 0.167 0.000 0.080 (multiplicity 4)

**V**: 633 Å³/cell
**Uncorrected formation energy**: -1624 meV per atom
**Crystal system**: monoclinic
**Magnetization**: 3.0 μB per formula unit



# 4
NaAc2US6: relaxed, PBE.

Cell: 7.2960 7.2960 18.5420 Å, 90.00 90.00 120.00°
Space group R3 (No. 146, hexagonal axes)
One atom of each set of equivalent atoms:
Na1 0.0000 0.0000 0.0000 (multiplicity 3)
Ac1 0.0000 0.0000 0.2780 (multiplicity 3)
Ac2 0.0000 0.0000 0.7863 (multiplicity 3)
U1 0.0000 0.0000 0.4895 (multiplicity 3)
S1 0.0002 0.3906 0.2297 (multiplicity 9)
S2 0.0680 0.6930 0.0675 (multiplicity 9)

**V**: 855 Å³/cell
**Uncorrected formation energy**: -1719 meV per atom
**Crystal system**: trigonal
**Magnetization**: 1.0 μB per formula unit



# 5
Na3Ac3US8: relaxed, PBE.

Cell: 14.231 8.652 8.324 Å, 90.00 122.68 90.00°
Space group C2/m (No. 12)
One atom of each set of equivalent atoms:
Na1 0.000 0.000 0.000 (multiplicity 2)
Na2 0.250 0.250 0.500 (multiplicity 4)
Ac1 0.000 0.500 0.500 (multiplicity 2)
Ac2 0.250 0.250 0.000 (multiplicity 4)
U1 0.000 0.000 0.500 (multiplicity 2)
S1 0.002 0.230 0.727 (multiplicity 8)
S2 0.227 0.000 0.732 (multiplicity 4)
S3 0.248 0.500 0.753 (multiplicity 4)

**V**: 863 Å³/cell
**Uncorrected formation energy**: -1721 meV per atom
**Crystal system**: monoclinic
**Magnetization**: 2.0 μB per formula unit



# 6
Na2AcUS4: relaxed, PBE.

Cell: 7.151 4.174 7.284 Å, 90.00 109.88 90.00°
Space group P2/m (No. 10)
One atom of each set of equivalent atoms:
Na1 0.000 0.000 0.000 (multiplicity 1)
Na2 0.000 0.500 0.500 (multiplicity 1)
Ac1 0.500 0.000 0.500 (multiplicity 1)
U1 0.500 0.500 0.000 (multiplicity 1)
S1 0.260 0.500 0.235 (multiplicity 2)
S2 0.270 0.000 0.773 (multiplicity 2)

**V**: 204 Å³/cell
**Uncorrected formation energy**: -1535 meV per atom
**Crystal system**: monoclinic
**Magnetization**: 3.0 μB per formula unit



# 7
Na3Ac3VS8: relaxed, PBE.

Cell: 8.3891 8.3891 20.1168 Å, 90.00 90.00 120.00°
Space group R-3m (No. 166, hexagonal axes)
One atom of each set of equivalent atoms:
Na1 0.0000 0.5000 0.0000 (multiplicity 9)
Ac1 0.0000 0.5000 0.5000 (multiplicity 9)
V1 0.0000 0.0000 0.5000 (multiplicity 3)
S1 0.0000 0.0000 0.2496 (multiplicity 6)
S2 0.0519 0.5260 0.2370 (multiplicity 18)

**V**: 1226 Å³/cell
**Uncorrected formation energy**: -1524 meV per atom
**Crystal system**: trigonal
**Magnetization**: 1.0 μB per formula unit



# 8
NaAc2VS6: relaxed, PBE.

Cell: 6.560 7.403 11.625 Å, 90.00 124.28 90.00°
Space group P2_1/c (No. 14)
One atom of each set of equivalent atoms:
Na1 0.000 0.000 0.000 (multiplicity 2)
Ac1 0.288 0.099 0.752 (multiplicity 4)
V1 0.500 0.000 0.500 (multiplicity 2)
S1 0.169 0.020 0.268 (multiplicity 4)
S2 0.244 0.667 0.047 (multiplicity 4)
S3 0.391 0.213 0.052 (multiplicity 4)

**V**: 467 Å³/cell
**Uncorrected formation energy**: -1464 meV per atom
**Crystal system**: monoclinic
**Magnetization**: 0.1 μB per formula unit